(1)
A plane-wave DFT calculation with GGA-PBE was carried out for a relaxed structure of AcEuBr.

Lattice parameters (Å, degrees): 3.820 3.820 8.032 103.76 103.76 90.00
Site moments in Bohr magnetons follow the coordinates.
Atoms (fractional coordinates):
1 Eu 0.684 0.684 0.368  -6.94
2 Br 0.329 0.329 0.659  0.01
3 Ac 0.987 0.987 0.973  0.02

## Properties
- Energy relative to the elements, uncorrected: -0.731 eV/atom
- Space group: I4mm (107)

---

(2)
A plane-wave DFT calculation with GGA-PBE was carried out for a relaxed structure of AcEuBr.

Lattice parameters (Å, degrees): 4.030 4.030 8.078 90.00 90.00 120.00
Site moments in Bohr magnetons follow the coordinates.
Atoms (fractional coordinates):
1 Ac 0.000 0.000 0.970  -0.06
2 Eu 0.667 0.333 0.372  6.99
3 Br 0.333 0.667 0.658  -0.01

## Properties
- Energy relative to the elements, uncorrected: -0.854 eV/atom
- Space group: P3m1 (156)

---

(3)
A plane-wave DFT calculation with GGA-PBE was carried out for a relaxed structure of AcEuBr2.

Lattice parameters (Å, degrees): 4.110 4.110 10.629 78.85 78.85 60.00
Site moments in Bohr magnetons follow the coordinates.
Atoms (fractional coordinates):
1 Br 0.103 0.103 0.690  -0.01
2 Br 0.897 0.897 0.310  -0.01
3 Eu 0.500 0.500 0.500  7.03
4 Ac 0.000 0.000 0.000  0.12

## Properties
- Energy relative to the elements, uncorrected: -1.234 eV/atom
- Space group: R-3m (166)

---

(4)
A plane-wave DFT calculation with GGA-PBE was carried out for a relaxed structure of AcEu2Br.

Lattice parameters (Å, degrees): 3.798 3.798 10.475 90.00 90.00 90.00
Site moments in Bohr magnetons follow the coordinates.
Atoms (fractional coordinates):
1 Ac 0.500 0.500 0.500  0.01
2 Eu 0.000 0.000 0.788  7.00
3 Eu 0.000 0.000 0.212  7.00
4 Br 0.500 0.500 0.000  -0.02

## Properties
- Energy relative to the elements, uncorrected: -0.623 eV/atom
- Space group: P4/mmm (123)

---

(5)
A plane-wave DFT calculation with GGA-PBE was carried out for a relaxed structure of AcEu2Br.

Lattice parameters (Å, degrees): 3.981 3.981 11.369 79.92 79.92 60.00
Site moments in Bohr magnetons follow the coordinates.
Atoms (fractional coordinates):
1 Br 0.000 0.000 0.000  -0.01
2 Eu 0.736 0.736 0.792  6.98
3 Eu 0.264 0.264 0.208  6.98
4 Ac 0.500 0.500 0.500  -0.01

## Properties
- Energy relative to the elements, uncorrected: -0.713 eV/atom
- Space group: R-3m (166)

---

(6)
A plane-wave DFT calculation with GGA-PBE was carried out for a relaxed structure of AcEuGaBr.

Lattice parameters (Å, degrees): 5.554 5.554 5.554 60.00 60.00 60.00
Site moments in Bohr magnetons follow the coordinates.
Atoms (fractional coordinates):
1 Ga 0.000 0.000 0.000  0.03
2 Ac 0.250 0.250 0.250  -0.02
3 Eu 0.750 0.750 0.750  -6.87
4 Br 0.500 0.500 0.500  0.01

## Properties
- Energy relative to the elements, uncorrected: -0.720 eV/atom
- Space group: F-43m (216)

---

(7)
A plane-wave DFT calculation with GGA-PBE was carried out for a relaxed structure of AcEuSiBr.

Lattice parameters (Å, degrees): 5.457 5.457 5.457 60.00 60.00 60.00
Site moments in Bohr magnetons follow the coordinates.
Atoms (fractional coordinates):
1 Si 0.750 0.750 0.750  -0.06
2 Eu 0.500 0.500 0.500  6.85
3 Br 0.250 0.250 0.250  -0.02
4 Ac 0.000 0.000 0.000  0.02

## Properties
- Energy relative to the elements, uncorrected: -0.867 eV/atom
- Space group: F-43m (216)

---

(8)
A plane-wave DFT calculation with GGA-PBE was carried out for a relaxed structure of AcEuSnBr.

Lattice parameters (Å, degrees): 5.680 5.680 5.680 60.00 60.00 60.00
Site moments in Bohr magnetons follow the coordinates.
Atoms (fractional coordinates):
1 Br 0.750 0.750 0.750  -0.02
2 Eu 0.000 0.000 0.000  6.87
3 Ac 0.500 0.500 0.500  0.01
4 Sn 0.250 0.250 0.250  -0.07

## Properties
- Energy relative to the elements, uncorrected: -0.996 eV/atom
- Space group: F-43m (216)

---

(9)
A plane-wave DFT calculation with GGA-PBE was carried out for a relaxed structure of AcEuTeBr.

Lattice parameters (Å, degrees): 5.602 5.602 5.602 60.00 60.00 60.00
Site moments in Bohr magnetons follow the coordinates.
Atoms (fractional coordinates):
1 Te 0.250 0.250 0.250  -0.04
2 Ac 0.000 0.000 0.000  0.29
3 Eu 0.500 0.500 0.500  7.09
4 Br 0.750 0.750 0.750  -0.01

## Properties
- Energy relative to the elements, uncorrected: -1.301 eV/atom
- Space group: F-43m (216)

---

(10)
A plane-wave DFT calculation with GGA-PBE was carried out for a relaxed structure of Ac2BrF8.

Lattice parameters (Å, degrees): 4.664 7.230 7.230 115.04 97.52 97.52
Site moments in Bohr magnetons follow the coordinates.
Atoms (fractional coordinates):
1 F 0.591 0.318 0.030  0.08
2 F 0.500 0.977 0.688  0.08
3 F 0.500 0.688 0.977  0.08
4 F 0.046 0.723 0.283  0.00
5 F 0.283 0.379 0.379  0.00
6 F 0.808 0.627 0.627  0.00
7 F 0.591 0.030 0.318  0.08
8 F 0.046 0.283 0.723  0.00
9 Ac 0.546 0.338 0.668  0.01
10 Ac 0.546 0.668 0.338  0.01
11 Br 0.545 0.003 0.003  0.52

## Properties
- Energy relative to the elements, uncorrected: -3.112 eV/atom
- Space group: C2/m (12)

---

(11)
A plane-wave DFT calculation with GGA-PBE was carried out for a relaxed structure of AcBrF2.

Lattice parameters (Å, degrees): 4.232 6.064 7.486 90.00 90.00 110.42
Atoms (fractional coordinates):
1 Ac 0.230 0.459 0.250
2 Ac 0.770 0.541 0.750
3 F 0.311 0.622 0.933
4 F 0.689 0.378 0.067
5 F 0.311 0.622 0.567
6 F 0.689 0.378 0.433
7 Br 0.949 0.899 0.250
8 Br 0.051 0.101 0.750

## Properties
- Energy relative to the elements, uncorrected: -3.509 eV/atom
- Space group: Cmcm (63)

---

(12)
A plane-wave DFT calculation with GGA-PBE was carried out for a relaxed structure of AcBr2F.

Lattice parameters (Å, degrees): 6.866 6.866 6.567 117.21 117.21 97.20
Atoms (fractional coordinates):
1 Br 0.686 0.686 0.000
2 Br 0.250 0.750 0.500
3 Br 0.750 0.250 0.500
4 Br 0.314 0.314 0.000
5 Ac 0.794 0.794 0.589
6 Ac 0.206 0.206 0.411
7 F 0.869 0.131 0.000
8 F 0.131 0.869 0.000

## Properties
- Energy relative to the elements, uncorrected: -2.563 eV/atom
- Space group: Fmmm (69)

---

(13)
A plane-wave DFT calculation with GGA-PBE was carried out for a relaxed structure of AcBrF2.

Lattice parameters (Å, degrees): 4.323 4.323 6.111 69.28 69.28 60.00
Atoms (fractional coordinates):
1 Ac 0.682 0.682 0.955
2 F 0.304 0.304 0.087
3 F 0.024 0.024 0.929
4 Br 0.490 0.490 0.529

## Properties
- Energy relative to the elements, uncorrected: -3.493 eV/atom
- Space group: R3m (160)

---

(14)
A plane-wave DFT calculation with GGA-PBE was carried out for a relaxed structure of AcBr2F.

Lattice parameters (Å, degrees): 4.401 4.401 7.975 74.84 74.84 59.99
Atoms (fractional coordinates):
1 Br 0.208 0.208 0.363
2 Br 0.042 0.042 0.887
3 F 0.458 0.458 0.625
4 Ac 0.792 0.792 0.625

## Properties
- Energy relative to the elements, uncorrected: -2.805 eV/atom
- Space group: Cm (8)

---

(15)
A plane-wave DFT calculation with GGA-PBE was carried out for a relaxed structure of AcBrF2.

Lattice parameters (Å, degrees): 4.283 4.283 5.882 68.65 68.65 60.00
Atoms (fractional coordinates):
1 Ac 0.000 0.000 0.000
2 F 0.300 0.300 0.099
3 F 0.700 0.700 0.901
4 Br 0.500 0.500 0.500

## Properties
- Energy relative to the elements, uncorrected: -3.444 eV/atom
- Space group: R-3m (166)

---

(16)
A plane-wave DFT calculation with GGA-PBE was carried out for a relaxed structure of AcHBrF.

Lattice parameters (Å, degrees): 4.312 4.381 5.924 68.35 111.34 90.00
Atoms (fractional coordinates):
1 Ac 0.612 0.176 0.224
2 Br 0.273 0.515 0.546
3 F 0.522 0.766 0.043
4 H 0.024 0.262 0.048

## Properties
- Calculated total energy: -0.17971 hartree per atom
- Space group: Cm (8)

---

(17)
A plane-wave DFT calculation with GGA-PBE was carried out for a relaxed structure of AcIBrF.

Lattice parameters (Å, degrees): 4.434 4.434 8.528 90.04 105.03 120.00
Atoms (fractional coordinates):
1 F 0.499 0.614 0.113
2 I 0.354 0.042 0.397
3 Ac 0.833 0.281 0.114
4 Br 0.006 0.867 0.873

## Properties
- Energy relative to the elements, uncorrected: -2.648 eV/atom
- Space group: R3m (160)

---

(18)
A plane-wave DFT calculation with GGA-PBE was carried out for a relaxed structure of Ac8Ir3Br4F.

Lattice parameters (Å, degrees): 8.672 9.730 8.677 116.50 119.98 90.00
Atoms (fractional coordinates):
1 Br 0.000 0.000 0.500
2 Br 0.500 0.000 0.000
3 Br 0.000 0.000 0.000
4 Br 0.500 0.000 0.500
5 Ir 0.000 0.500 0.500
6 Ir 0.500 0.500 0.500
7 Ir 0.500 0.500 0.000
8 Ac 0.763 0.304 0.041
9 Ac 0.721 0.696 0.959
10 Ac 0.269 0.308 0.539
11 Ac 0.731 0.692 0.461
12 Ac 0.238 0.697 0.476
13 Ac 0.279 0.304 0.041
14 Ac 0.237 0.696 0.959
15 Ac 0.762 0.303 0.524
16 F 0.000 0.500 0.000

## Properties
- Energy relative to the elements, uncorrected: -1.327 eV/atom
- Space group: R-3m (166)

---

(19)
A plane-wave DFT calculation with GGA-PBE was carried out for a relaxed structure of AcBrO4F.

Lattice parameters (Å, degrees): 6.428 6.428 7.270 77.79 77.79 76.37
Atoms (fractional coordinates):
1 F 0.019 0.019 0.172
2 F 0.981 0.981 0.828
3 O 0.875 0.525 0.871
4 O 0.482 0.482 0.734
5 O 0.125 0.475 0.129
6 O 0.475 0.125 0.129
7 O 0.744 0.744 0.497
8 O 0.256 0.256 0.503
9 O 0.525 0.875 0.871
10 O 0.518 0.518 0.266
11 Ac 0.206 0.206 0.880
12 Ac 0.794 0.794 0.120
13 Br 0.349 0.349 0.270
14 Br 0.651 0.651 0.730

## Properties
- Energy relative to the elements, uncorrected: -1.340 eV/atom
- Space group: C2/m (12)

---

(20)
A plane-wave DFT calculation with GGA-PBE was carried out for a relaxed structure of AcBr2O6F.

Lattice parameters (Å, degrees): 4.648 8.463 8.463 91.95 91.59 91.59
Atoms (fractional coordinates):
1 O 0.638 0.377 0.893
2 O 0.335 0.895 0.682
3 O 0.362 0.623 0.107
4 O 0.448 0.291 0.542
5 O 0.138 0.893 0.377
6 O 0.165 0.318 0.105
7 O 0.862 0.107 0.623
8 O 0.552 0.709 0.458
9 O 0.835 0.682 0.895
10 O 0.948 0.542 0.291
11 O 0.665 0.105 0.318
12 O 0.052 0.458 0.709
13 Br 0.739 0.526 0.777
14 Br 0.261 0.474 0.223
15 Br 0.239 0.777 0.526
16 Br 0.761 0.223 0.474
17 F 0.750 0.056 0.944
18 F 0.250 0.944 0.056
19 Ac 0.750 0.847 0.153
20 Ac 0.250 0.153 0.847

## Properties
- Energy relative to the elements, uncorrected: -1.056 eV/atom
- Space group: C2/c (15)